1.
## LiCoBO3 (PBEsol)

Data for a relaxed structure of LiCoBO3.

The structure belongs to space group P2_1/c (No. 14); the cell edges are 2.9448, 8.3811 and 9.3448 Å and the angles 90.00°, 102.59° and 90.00°. Symmetry generates all atoms from Li at (0.0764, 0.1128, 0.3654), Co at (0.4327, 0.5630, 0.6743), B at (0.1828, 0.7477, 0.4158), O at (0.0669, 0.6179, 0.8302), O at (0.0962, 0.5976, 0.3522) and O at (0.3804, 0.7367, 0.0628).

The calculation puts the total magnetization at 12.00 Bohr magnetons per cell. The value obtained for the total energy is -7.1147 eV per atom. The value obtained for the density of states at the Fermi level is 0.36 states/eV/atom.

2.
## BaSbN2F (PBEsol)

Data for a relaxed structure of BaSbN2F.

The structure belongs to space group P4/mmm (No. 123); the cell edges are 4.1345, 4.1345 and 4.5007 Å and the angles 90.00°, 90.00° and 90.00°. Symmetry generates all atoms from Ba at (0.0000, 0.0000, 0.0000), Sb at (0.5000, 0.5000, 0.5000), N at (0.0000, 0.5000, 0.5000) and F at (0.5000, 0.5000, 0.0000).

The calculation puts the total magnetization at 0.00 Bohr magnetons per cell. The value obtained for the total energy is -5.9165 eV per atom. The value obtained for the density of states at the Fermi level is 0.21 states/eV/atom.

3.
## Ca2ZnIn (PBEsol)

Data for a relaxed structure of Ca2ZnIn.

The structure belongs to space group P4/mmm (No. 123); the cell edges are 3.6030, 3.6030 and 7.7850 Å and the angles 90.00°, 90.00° and 90.00°. Symmetry generates all atoms from Ca at (0.0000, 0.0000, 0.2328), Zn at (0.5000, 0.5000, 0.0000) and In at (0.5000, 0.5000, 0.5000).

The calculation puts the total magnetization at 0.00 Bohr magnetons per cell. Its formation energy from the elements is -0.3648 eV per atom. The value obtained for the density of states at the Fermi level is 0.62 states/eV/atom.

4.
## NaTlCd2 (PBEsol)

Data for a relaxed structure of NaTlCd2.

The structure belongs to space group Fm-3m (No. 225); the cell edges are 7.2322, 7.2322 and 7.2322 Å and the angles 90.00°, 90.00° and 90.00°. Symmetry generates all atoms from Na at (0.0000, 0.0000, 0.0000), Tl at (0.0000, 0.0000, 0.5000) and Cd at (0.2500, 0.2500, 0.2500).

The calculation puts the total magnetization at 0.00 Bohr magnetons per cell. Its formation energy from the elements is -0.0288 eV per atom. The value obtained for the density of states at the Fermi level is 0.31 states/eV/atom.